The following is a PBE-GGA calculation of crystalline PmCdPd at its relaxed geometry, from the Open Quantum Materials Database.

Lattice parameters (Å, degrees): 4.907 4.907 4.907 60.00 60.00 60.00
Positions (direct):
Pm1 0.000 0.000 0.000
Cd1 0.750 0.750 0.750
Pd1 0.250 0.250 0.250

Values from the calculation:
The spin magnetization comes out at 0.00 μB/f.u. The distance to the lowest polymorph of the same formula is 47.5 kJ/mol of atoms. The space group is F-43m. The calculated density comes out at 7.23 g cm⁻³. For the formation enthalpy at 0 K, the calculation gives -0.059 eV/atom.